[1]
# SiSbPbF2

SiSbPbF2 after structural relaxation (GGA-PBE, Alexandria).

The structure belongs to space group P4/mmm (No. 123); the cell edges are 4.327, 4.327 and 5.649 Å and the angles 90.00°, 90.00° and 90.00°. Symmetry generates all atoms from Si at (0.000, 0.000, 0.000), Sb at (0.000, 0.000, 0.500), Pb at (0.500, 0.500, 0.500) and F at (0.000, 0.500, 0.000).

The density of states at the Fermi level comes out at 0.3171 states/eV/atom. Its crystal system is tetragonal. Its total energy is -0.1602 hartree per atom. As for the magnetization: 0.00 μB per cell.

[2]
# DyGaIr

DyGaIr after structural relaxation (GGA-PBE, Alexandria).

The structure belongs to space group P-6m2 (No. 187); the cell edges are 4.3414, 4.3414 and 3.6887 Å and the angles 90.00°, 90.00° and 120.00°. Symmetry generates all atoms from Dy at (0.0000, 0.0000, 0.0000), Ga at (0.3333, 0.6667, 0.5000) and Ir at (0.6667, 0.3333, 0.5000).

As for the energy of formation from the pure elements: -0.75 eV per atom. The density of states at the Fermi level comes out at 0.9243 states/eV/atom. Its crystal system is hexagonal. Its total energy is -0.2294 hartree per atom. As for the magnetization: 0.00 μB per cell.

[3]
# SrPuGeAu

SrPuGeAu after structural relaxation (GGA-PBE, Alexandria).

The structure belongs to space group F-43m (No. 216); the cell edges are 7.456, 7.456 and 7.456 Å and the angles 90.00°, 90.00° and 90.00°. Symmetry generates all atoms from Sr at (0.000, 0.000, 0.000), Pu at (0.000, 0.000, 0.500), Ge at (0.250, 0.250, 0.750) and Au at (0.250, 0.250, 0.250).

As for the energy of formation from the pure elements: -0.44 eV per atom. The density of states at the Fermi level comes out at 2.9341 states/eV/atom. Its crystal system is cubic. Its total energy is -0.2360 hartree per atom. As for the magnetization: 20.81 μB per cell.

[4]
# KCu3

KCu3 after structural relaxation (GGA-PBE, Alexandria).

The structure belongs to space group Pm-3m (No. 221); the cell edges are 4.173, 4.173 and 4.173 Å and the angles 90.00°, 90.00° and 90.00°. Symmetry generates all atoms from K at (0.000, 0.000, 0.000) and Cu at (0.000, 0.500, 0.500).

As for the energy of formation from the pure elements: 0.76 eV per atom. The density of states at the Fermi level comes out at 0.3479 states/eV/atom. Its crystal system is cubic. Its total energy is -0.0950 hartree per atom. As for the magnetization: 0.00 μB per cell.

[5]
# Tb5NiRu2

Tb5NiRu2 after structural relaxation (GGA-PBE, Alexandria).

The structure belongs to space group I4/mcm (No. 140); the cell edges are 7.605, 7.605 and 13.093 Å and the angles 90.00°, 90.00° and 90.00°. Symmetry generates all atoms from Tb at (0.000, 0.000, 0.000), Tb at (0.163, 0.337, 0.140), Ni at (0.000, 0.000, 0.250) and Ru at (0.139, 0.361, 0.500).

As for the energy of formation from the pure elements: -0.30 eV per atom. The density of states at the Fermi level comes out at 0.8903 states/eV/atom. Its crystal system is tetragonal. Its total energy is -0.2291 hartree per atom. As for the magnetization: 0.00 μB per cell.

[6]
# SbIrRh

SbIrRh after structural relaxation (GGA-PBE, Alexandria).

The structure belongs to space group P2_1/m (No. 11); the cell edges are 5.036, 4.157 and 5.601 Å and the angles 90.00°, 116.04° and 90.00°. Symmetry generates all atoms from Sb at (0.179, 0.250, 0.250), Ir at (0.222, 0.750, 0.572) and Rh at (0.409, 0.750, 0.115).

The density of states at the Fermi level comes out at 0.7980 states/eV/atom. Its crystal system is monoclinic. Its total energy is -0.2502 hartree per atom. As for the magnetization: 0.00 μB per cell.